# Ce3Ir7Pd2 | the Alexandria database | PBE | optimized geometry
data_Ce3Ir7Pd2
_space_group_name_H-M_alt 'R -3 m'
_space_group_IT_number 166
_space_group_name_Hall '-R 3 2"'
_cell_length_a 5.3424
_cell_length_b 5.3424
_cell_length_c 26.5414
_cell_angle_alpha 90.00
_cell_angle_beta 90.00
_cell_angle_gamma 120.00
loop_
_atom_site_label
_atom_site_type_symbol
_atom_site_fract_x
_atom_site_fract_y
_atom_site_fract_z
Ce1 Ce 0.0000 0.0000 0.0000
Ce2 Ce 0.0000 0.0000 0.1392
Ir1 Ir 0.0000 0.0000 0.5000
Ir2 Ir 0.0044 0.5022 0.9151
Pd1 Pd 0.0000 0.0000 0.3338
# formation energy: -0.628 eV per atom

=====

# Cs2Si2Bi | the Alexandria database | PBE | optimized geometry
data_Cs2Si2Bi
_space_group_name_H-M_alt 'I 4/m m m'
_space_group_IT_number 139
_space_group_name_Hall '-I 4 2'
_cell_length_a 5.192
_cell_length_b 5.192
_cell_length_c 14.216
_cell_angle_alpha 90.00
_cell_angle_beta 90.00
_cell_angle_gamma 90.00
loop_
_atom_site_label
_atom_site_type_symbol
_atom_site_fract_x
_atom_site_fract_y
_atom_site_fract_z
Cs1 Cs 0.000 0.500 0.250
Si1 Si 0.000 0.000 0.076
Bi1 Bi 0.000 0.000 0.500
# uncorrected formation energy: 0.413 eV per atom

=====

# Ca9Ge3N2 | the Alexandria database | PBE | optimized geometry
data_Ca9Ge3N2
_space_group_name_H-M_alt 'P -3 m 1'
_space_group_IT_number 164
_space_group_name_Hall '-P 3 2"'
_cell_length_a 6.8421
_cell_length_b 6.8421
_cell_length_c 8.4025
_cell_angle_alpha 90.00
_cell_angle_beta 90.00
_cell_angle_gamma 120.00
loop_
_atom_site_label
_atom_site_type_symbol
_atom_site_fract_x
_atom_site_fract_y
_atom_site_fract_z
Ca1 Ca 0.0000 0.5000 0.0000
Ca2 Ca 0.1733 0.3465 0.6763
Ge1 Ge 0.0000 0.0000 0.0000
Ge2 Ge 0.3333 0.6667 0.3402
N1 N 0.3333 0.6667 0.8317
# uncorrected formation energy: -0.690 eV per atom

=====

# Ce2P3Pd5 | the Alexandria database | PBE | optimized geometry
data_Ce2P3Pd5
_space_group_name_H-M_alt 'C m c 21'
_space_group_IT_number 36
_space_group_name_Hall 'C 2c -2'
_cell_length_a 4.271
_cell_length_b 23.046
_cell_length_c 7.180
_cell_angle_alpha 90.00
_cell_angle_beta 90.00
_cell_angle_gamma 90.00
loop_
_atom_site_label
_atom_site_type_symbol
_atom_site_fract_x
_atom_site_fract_y
_atom_site_fract_z
Ce1 Ce 0.000 0.018 0.000
Ce2 Ce 0.000 0.330 0.013
P1 P 0.000 0.104 0.683
P2 P 0.000 0.264 0.572
P3 P 0.000 0.450 0.761
Pd1 Pd 0.000 0.100 0.327
Pd2 Pd 0.000 0.196 0.859
Pd3 Pd 0.000 0.226 0.258
Pd4 Pd 0.000 0.364 0.562
Pd5 Pd 0.000 0.444 0.236
# formation energy: -0.881 eV per atom

=====

# CaLaTlGe | the Alexandria database | PBE | optimized geometry
data_CaLaTlGe
_space_group_name_H-M_alt 'F -4 3 m'
_space_group_IT_number 216
_space_group_name_Hall 'F -4 2 3'
_cell_length_a 7.653
_cell_length_b 7.653
_cell_length_c 7.653
_cell_angle_alpha 90.00
_cell_angle_beta 90.00
_cell_angle_gamma 90.00
loop_
_atom_site_label
_atom_site_type_symbol
_atom_site_fract_x
_atom_site_fract_y
_atom_site_fract_z
Ca1 Ca 0.000 0.000 0.000
La1 La 0.000 0.000 0.500
Tl1 Tl 0.250 0.250 0.750
Ge1 Ge 0.250 0.250 0.250
# formation energy: -0.487 eV per atom

=====

# PaMn2Ag2S6 | the Alexandria database | PBE | optimized geometry
data_PaMn2Ag2S6
_space_group_name_H-M_alt 'C 1 2/m 1'
_space_group_IT_number 12
_space_group_name_Hall '-C 2y'
_cell_length_a 6.522
_cell_length_b 10.992
_cell_length_c 6.590
_cell_angle_alpha 90.00
_cell_angle_beta 102.61
_cell_angle_gamma 90.00
loop_
_atom_site_label
_atom_site_type_symbol
_atom_site_fract_x
_atom_site_fract_y
_atom_site_fract_z
Pa1 Pa 0.000 0.000 0.000
Mn1 Mn 0.000 0.332 0.000
Ag1 Ag 0.000 0.135 0.500
S1 S 0.191 0.500 0.211
S2 S 0.211 0.179 0.225
# uncorrected formation energy: -0.731 eV per atom

=====

# NbHgP2 | the Alexandria database | PBE | optimized geometry
data_NbHgP2
_space_group_name_H-M_alt 'I -4 2 d'
_space_group_IT_number 122
_space_group_name_Hall 'I -4 2bw'
_cell_length_a 5.927
_cell_length_b 5.927
_cell_length_c 11.125
_cell_angle_alpha 90.00
_cell_angle_beta 90.00
_cell_angle_gamma 90.00
loop_
_atom_site_label
_atom_site_type_symbol
_atom_site_fract_x
_atom_site_fract_y
_atom_site_fract_z
Nb1 Nb 0.000 0.000 0.000
Hg1 Hg 0.000 0.000 0.500
P1 P 0.220 0.250 0.125
# formation energy: 0.075 eV per atom

=====

# Cd5AgAu3 | the Alexandria database | PBE | optimized geometry
data_Cd5AgAu3
_space_group_name_H-M_alt 'C m c m'
_space_group_IT_number 63
_space_group_name_Hall '-C 2c 2'
_cell_length_a 14.565
_cell_length_b 8.428
_cell_length_c 5.848
_cell_angle_alpha 90.00
_cell_angle_beta 90.00
_cell_angle_gamma 90.00
loop_
_atom_site_label
_atom_site_type_symbol
_atom_site_fract_x
_atom_site_fract_y
_atom_site_fract_z
Cd1 Cd 0.000 0.197 0.250
Cd2 Cd 0.151 0.348 0.750
Cd3 Cd 0.167 0.000 0.000
Ag1 Ag 0.000 0.500 0.000
Au1 Au 0.000 0.138 0.750
Au2 Au 0.181 0.320 0.250
# formation energy: -0.137 eV per atom

=====

no.,E_tot (eV per atom)
1,-8.146
2,-2.873
3,-4.155
4,-6.287
5,-3.965
6,-6.031
7,-5.223
8,-2.054